(1)
# La2As2Au (PBE-GGA, optimized geometry)
# - energy relative to the elements (kJ per mole of atoms) = -103
# - final energy (hartree per atom) = -0.20405
data_La2As2Au
_cell_length_a 7.969
_cell_length_b 7.969
_cell_length_c 4.042
_cell_angle_alpha 90.00
_cell_angle_beta 90.00
_cell_angle_gamma 90.00
_symmetry_space_group_name_H-M 'P 4/m b m'
_symmetry_Int_Tables_number 127
_symmetry_space_group_name_Hall '-P 4 2ab'
loop_
_atom_site_label
_atom_site_type_symbol
_atom_site_fract_x
_atom_site_fract_y
_atom_site_fract_z
La1 La 0.155 0.345 0.000
As1 As 0.158 0.658 0.500
Au1 Au 0.000 0.000 0.500



(2)
# LaAs2Au (PBE-GGA, optimized geometry)
# - energy relative to the elements (kJ per mole of atoms) = -64
# - final energy (hartree per atom) = -0.18525
data_LaAs2Au
_cell_length_a 7.660
_cell_length_b 7.660
_cell_length_c 6.492
_cell_angle_alpha 90.00
_cell_angle_beta 90.00
_cell_angle_gamma 90.00
_symmetry_space_group_name_H-M 'I -4 2 d'
_symmetry_Int_Tables_number 122
_symmetry_space_group_name_Hall 'I -4 2bw'
loop_
_atom_site_label
_atom_site_type_symbol
_atom_site_fract_x
_atom_site_fract_y
_atom_site_fract_z
La1 La 0.000 0.000 0.000
As1 As 0.199 0.250 0.625
Au1 Au 0.000 0.000 0.500



(3)
# La2AsAu (PBE-GGA, optimized geometry)
# - energy relative to the elements (kJ per mole of atoms) = -82
# - final energy (hartree per atom) = -0.19464
data_La2AsAu
_cell_length_a 7.910
_cell_length_b 7.910
_cell_length_c 8.052
_cell_angle_alpha 90.00
_cell_angle_beta 90.00
_cell_angle_gamma 90.00
_symmetry_space_group_name_H-M 'I -4 2 d'
_symmetry_Int_Tables_number 122
_symmetry_space_group_name_Hall 'I -4 2bw'
loop_
_atom_site_label
_atom_site_type_symbol
_atom_site_fract_x
_atom_site_fract_y
_atom_site_fract_z
La1 La 0.245 0.250 0.125
As1 As 0.000 0.000 0.000
Au1 Au 0.000 0.000 0.500



(4)
# La2AsAu (PBE-GGA, optimized geometry)
# - energy relative to the elements (kJ per mole of atoms) = -60
# - final energy (hartree per atom) = -0.18617
data_La2AsAu
_cell_length_a 4.3885
_cell_length_b 4.3885
_cell_length_c 23.5395
_cell_angle_alpha 90.00
_cell_angle_beta 90.00
_cell_angle_gamma 120.00
_symmetry_space_group_name_H-M 'R 3 m'
_symmetry_Int_Tables_number 160
_symmetry_space_group_name_Hall 'R 3 -2"'
loop_
_atom_site_label
_atom_site_type_symbol
_atom_site_fract_x
_atom_site_fract_y
_atom_site_fract_z
La1 La 0.0000 0.0000 0.0000
La2 La 0.0000 0.0000 0.1802
As1 As 0.0000 0.0000 0.4460
Au1 Au 0.0000 0.0000 0.7340



(5)
# LaAs2Au (PBE-GGA, optimized geometry)
# - energy relative to the elements (kJ per mole of atoms) = -46
# - final energy (hartree per atom) = -0.17838
data_LaAs2Au
_cell_length_a 4.301
_cell_length_b 6.523
_cell_length_c 6.916
_cell_angle_alpha 90.00
_cell_angle_beta 90.00
_cell_angle_gamma 90.00
_symmetry_space_group_name_H-M 'C m m m'
_symmetry_Int_Tables_number 65
_symmetry_space_group_name_Hall '-C 2 2'
loop_
_atom_site_label
_atom_site_type_symbol
_atom_site_fract_x
_atom_site_fract_y
_atom_site_fract_z
La1 La 0.000 0.000 0.000
As1 As 0.000 0.500 0.284
Au1 Au 0.000 0.000 0.500



(6)
# LaAs2Au (PBE-GGA, optimized geometry)
# - energy relative to the elements (kJ per mole of atoms) = -45
# - final energy (hartree per atom) = -0.17789
data_LaAs2Au
_cell_length_a 7.096
_cell_length_b 7.096
_cell_length_c 7.096
_cell_angle_alpha 90.00
_cell_angle_beta 90.00
_cell_angle_gamma 90.00
_symmetry_space_group_name_H-M 'F m -3 m'
_symmetry_Int_Tables_number 225
_symmetry_space_group_name_Hall '-F 4 2 3'
loop_
_atom_site_label
_atom_site_type_symbol
_atom_site_fract_x
_atom_site_fract_y
_atom_site_fract_z
La1 La 0.000 0.000 0.000
As1 As 0.250 0.250 0.250
Au1 Au 0.000 0.000 0.500



(7)
# LaAs2Au3 (PBE-GGA, optimized geometry)
# - energy relative to the elements (kJ per mole of atoms) = -48
# - final energy (hartree per atom) = -0.16555
data_LaAs2Au3
_cell_length_a 16.409
_cell_length_b 4.479
_cell_length_c 7.977
_cell_angle_alpha 90.00
_cell_angle_beta 114.76
_cell_angle_gamma 90.00
_symmetry_space_group_name_H-M 'C 1 2/m 1'
_symmetry_Int_Tables_number 12
_symmetry_space_group_name_Hall '-C 2y'
loop_
_atom_site_label
_atom_site_type_symbol
_atom_site_fract_x
_atom_site_fract_y
_atom_site_fract_z
La1 La 0.142 0.000 0.244
As1 As 0.009 0.500 0.207
As2 As 0.211 0.000 0.690
Au1 Au 0.068 0.000 0.780
Au2 Au 0.127 0.500 0.548
Au3 Au 0.183 0.500 0.967



(8)
# LaAsAu2 (PBE-GGA, optimized geometry)
# - energy relative to the elements (kJ per mole of atoms) = -40
# - final energy (hartree per atom) = -0.16355
data_LaAsAu2
_cell_length_a 4.791
_cell_length_b 5.849
_cell_length_c 6.652
_cell_angle_alpha 90.00
_cell_angle_beta 90.00
_cell_angle_gamma 90.00
_symmetry_space_group_name_H-M 'C m m 2'
_symmetry_Int_Tables_number 35
_symmetry_space_group_name_Hall 'C 2 -2'
loop_
_atom_site_label
_atom_site_type_symbol
_atom_site_fract_x
_atom_site_fract_y
_atom_site_fract_z
La1 La 0.000 0.000 0.000
As1 As 0.000 0.500 0.277
Au1 Au 0.000 0.000 0.476
Au2 Au 0.000 0.500 0.700



(9)
# La2AsAu (PBE-GGA, optimized geometry)
# - energy relative to the elements (kJ per mole of atoms) = -106
# - final energy (hartree per atom) = -0.20356
data_La2AsAu
_cell_length_a 4.2535
_cell_length_b 4.2535
_cell_length_c 22.8956
_cell_angle_alpha 90.00
_cell_angle_beta 90.00
_cell_angle_gamma 120.00
_symmetry_space_group_name_H-M 'R 3 m'
_symmetry_Int_Tables_number 160
_symmetry_space_group_name_Hall 'R 3 -2"'
loop_
_atom_site_label
_atom_site_type_symbol
_atom_site_fract_x
_atom_site_fract_y
_atom_site_fract_z
La1 La 0.0000 0.0000 0.0000
La2 La 0.0000 0.0000 0.1774
As1 As 0.0000 0.0000 0.5881
Au1 Au 0.0000 0.0000 0.4214



(10)
# LaAsAu2 (PBE-GGA, optimized geometry)
# - energy relative to the elements (kJ per mole of atoms) = -54
# - final energy (hartree per atom) = -0.16865
data_LaAsAu2
_cell_length_a 4.261
_cell_length_b 4.261
_cell_length_c 21.337
_cell_angle_alpha 90.00
_cell_angle_beta 90.00
_cell_angle_gamma 90.00
_symmetry_space_group_name_H-M 'I -4 2 d'
_symmetry_Int_Tables_number 122
_symmetry_space_group_name_Hall 'I -4 2bw'
loop_
_atom_site_label
_atom_site_type_symbol
_atom_site_fract_x
_atom_site_fract_y
_atom_site_fract_z
La1 La 0.000 0.000 0.000
As1 As 0.000 0.000 0.500
Au1 Au 0.226 0.250 0.625



(11)
# LaAsAu2 (PBE-GGA, optimized geometry)
# - energy relative to the elements (kJ per mole of atoms) = -60
# - final energy (hartree per atom) = -0.17105
data_LaAsAu2
_cell_length_a 4.123
_cell_length_b 4.234
_cell_length_c 5.894
_cell_angle_alpha 90.00
_cell_angle_beta 104.97
_cell_angle_gamma 90.00
_symmetry_space_group_name_H-M 'P 1 m 1'
_symmetry_Int_Tables_number 6
_symmetry_space_group_name_Hall 'P -2y'
loop_
_atom_site_label
_atom_site_type_symbol
_atom_site_fract_x
_atom_site_fract_y
_atom_site_fract_z
La1 La 0.000 0.000 0.000
As1 As 0.566 0.500 0.161
Au1 Au 0.433 0.500 0.696
Au2 Au 0.626 0.000 0.452



(12)
# La2AsAu (PBE-GGA, optimized geometry)
# - energy relative to the elements (kJ per mole of atoms) = -34
# - final energy (hartree per atom) = -0.17614
data_La2AsAu
_cell_length_a 7.382
_cell_length_b 7.382
_cell_length_c 7.382
_cell_angle_alpha 90.00
_cell_angle_beta 90.00
_cell_angle_gamma 90.00
_symmetry_space_group_name_H-M 'F -4 3 m'
_symmetry_Int_Tables_number 216
_symmetry_space_group_name_Hall 'F -4 2 3'
loop_
_atom_site_label
_atom_site_type_symbol
_atom_site_fract_x
_atom_site_fract_y
_atom_site_fract_z
La1 La 0.000 0.000 0.000
La2 La 0.250 0.250 0.250
As1 As 0.250 0.250 0.750
Au1 Au 0.000 0.000 0.500



What did the sixth record say?
# LaAs2Au (PBE-GGA, optimized geometry)
# - energy relative to the elements (kJ per mole of atoms) = -45
# - final energy (hartree per atom) = -0.17789
data_LaAs2Au
_cell_length_a 7.096
_cell_length_b 7.096
_cell_length_c 7.096
_cell_angle_alpha 90.00
_cell_angle_beta 90.00
_cell_angle_gamma 90.00
_symmetry_space_group_name_H-M 'F m -3 m'
_symmetry_Int_Tables_number 225
_symmetry_space_group_name_Hall '-F 4 2 3'
loop_
_atom_site_label
_atom_site_type_symbol
_atom_site_fract_x
_atom_site_fract_y
_atom_site_fract_z
La1 La 0.000 0.000 0.000
As1 As 0.250 0.250 0.250
Au1 Au 0.000 0.000 0.500



Number 6 is which compound?
LaAs2Au



What is the final energy in the seventh record?
-0.16555 hartree per atom



Copy entry 10 word for word.
# LaAsAu2 (PBE-GGA, optimized geometry)
# - energy relative to the elements (kJ per mole of atoms) = -54
# - final energy (hartree per atom) = -0.16865
data_LaAsAu2
_cell_length_a 4.261
_cell_length_b 4.261
_cell_length_c 21.337
_cell_angle_alpha 90.00
_cell_angle_beta 90.00
_cell_angle_gamma 90.00
_symmetry_space_group_name_H-M 'I -4 2 d'
_symmetry_Int_Tables_number 122
_symmetry_space_group_name_Hall 'I -4 2bw'
loop_
_atom_site_label
_atom_site_type_symbol
_atom_site_fract_x
_atom_site_fract_y
_atom_site_fract_z
La1 La 0.000 0.000 0.000
As1 As 0.000 0.000 0.500
Au1 Au 0.226 0.250 0.625